Cs3Er3PuSe8: optimized geometry, PBE.

Lattice parameters (Å, degrees): 8.3690 8.3690 25.5657 90.00 90.00 120.00
With the nearest neighbours (Å) after each atom.
Space group R-3m (No. 166, hexagonal axes)
Unique sites:
Cs (0.0000, 0.5000, 0.0000) (multiplicity 9)  6 Se 3.63
Er (0.0000, 0.5000, 0.5000) (multiplicity 9)  6 Se 2.87
Pu (0.0000, 0.0000, 0.5000) (multiplicity 3)  6 Se 2.86
Se (0.0000, 0.0000, 0.2276) (multiplicity 6)  3 Er 2.87
Se (0.0013, 0.5007, 0.2270) (multiplicity 18)  1 Pu 2.86, 2 Er 2.87

Results
N(E_F): 12.37 states/eV/f.u.
Formation energy (no corrections): -1.6357 eV/atom
Theoretical density: 5.706 g cm⁻³
Energy: -83.0 eV per formula unit